# HgSbWI2

A relaxed structure of HgSbWI2 (PBE, the Alexandria database).

Values from the calculation:
**V**: 167 Å³ per cell
**M_tot**: 0.140 μB/atom
**Density of states at the Fermi level**: 0.928 states/eV/atom
**Offset from the most stable computed form**: 0.00 eV/f.u.
**Formation energy without anion corrections**: 275 kJ/mol of formula units

abc: 5.639 5.639 5.261
angles: 90.00 90.00 90.00
Fractional coordinates of all 5 atoms:
Hg 0.000 0.000 0.000
Sb 0.500 0.500 0.000
W 0.500 0.500 0.500
I 0.000 0.500 0.500
I 0.500 0.000 0.500


# HgSb2WI

A relaxed structure of HgSb2WI (PBE, the Alexandria database).

Values from the calculation:
**V**: 161 Å³ per cell
**M_tot**: 0.054 μB/atom
**Density of states at the Fermi level**: 0.728 states/eV/atom
**Offset from the most stable computed form**: 0.00 eV/f.u.
**Formation energy without anion corrections**: 267 kJ/mol of formula units

abc: 5.223 5.223 5.906
angles: 90.00 90.00 90.00
Fractional coordinates of all 5 atoms:
Hg 0.000 0.000 0.000
Sb 0.000 0.500 0.500
Sb 0.500 0.000 0.500
W 0.500 0.500 0.500
I 0.500 0.500 0.000


# HgSbWI2

A relaxed structure of HgSbWI2 (PBE, the Alexandria database).

Values from the calculation:
**V**: 190 Å³ per cell
**M_tot**: 0.745 μB/atom
**Density of states at the Fermi level**: 1.487 states/eV/atom
**Offset from the most stable computed form**: 5.33 eV/f.u.
**Formation energy without anion corrections**: 789 kJ/mol of formula units

abc: 5.784 5.784 5.693
angles: 90.00 90.00 90.00
Fractional coordinates of all 5 atoms:
Hg 0.000 0.000 0.000
Sb 0.000 0.000 0.500
W 0.500 0.500 0.500
I 0.000 0.500 0.000
I 0.500 0.000 0.000


# HgSb2WI

A relaxed structure of HgSb2WI (PBE, the Alexandria database).

Values from the calculation:
**V**: 174 Å³ per cell
**M_tot**: 0.681 μB/atom
**Density of states at the Fermi level**: 1.177 states/eV/atom
**Offset from the most stable computed form**: 6.14 eV/f.u.
**Formation energy without anion corrections**: 859 kJ/mol of formula units

abc: 5.499 5.499 5.756
angles: 90.00 90.00 90.00
Fractional coordinates of all 5 atoms:
Hg 0.000 0.000 0.000
Sb 0.000 0.500 0.000
Sb 0.500 0.000 0.000
W 0.500 0.500 0.500
I 0.000 0.000 0.500